# 1
A relaxed BaOs2 crystal, computed with PBE.

- Energy relative to the lowest polymorph listed for this composition: 4.3 kJ/mol of atoms

The structure in extended XYZ format:
```
6
Lattice="0.000 3.968 3.968 3.968 0.000 3.968 3.968 3.968 0.000" Properties=species:S:1:pos:R:3 pbc="T T T"
Ba 0.000 0.000 0.000
Ba 1.984 1.984 1.984
Os 2.976 2.976 4.960
Os 2.976 4.960 2.976
Os 4.960 2.976 2.976
Os 4.960 4.960 4.960
```

=====

# 2
A relaxed LiZrCuS3 crystal, computed with PBE.

- Energy relative to the lowest polymorph listed for this composition: 0.6 kJ/mol of atoms

The structure in extended XYZ format:
```
12
Lattice="5.584 3.039 0.548 -6.353 0.376 0.459 0.521 -2.650 9.381" Properties=species:S:1:pos:R:3 pbc="T T T"
Cu 5.412 2.309 2.891
Cu -5.659 -1.544 7.497
Li -3.196 0.388 2.827
Li 2.949 0.376 7.561
S 3.955 2.492 1.158
S 0.850 1.291 2.857
S 4.146 1.518 4.604
S -4.394 -0.754 5.784
S -1.098 -0.527 7.531
S -4.202 -1.727 9.230
Zr -0.385 1.707 0.504
Zr -0.124 0.382 5.194
```

=====

# 3
A relaxed TbHoZn crystal, computed with PBE.

- Calculated formation energy: -0.0926 eV per atom
- Energy relative to the lowest polymorph listed for this composition: 0.0 kJ/mol of atoms

The structure in extended XYZ format:
```
12
Lattice="-3.482 3.738 0.541 0.922 -1.999 -4.641 -9.508 -9.155 2.054" Properties=species:S:1:pos:R:3 pbc="T T T"
Ho -1.629 -1.130 -2.680
Ho -4.217 -3.621 -2.121
Ho -7.851 -3.795 0.075
Ho -10.439 -6.287 0.634
Tb 0.000 0.000 0.000
Tb -2.377 -2.289 0.514
Tb -4.754 -4.578 1.027
Tb -7.131 -6.866 1.541
Zn -3.353 0.537 -0.897
Zn -5.429 -1.463 -0.448
Zn -6.639 -5.953 -1.597
Zn -8.716 -7.953 -1.149
```

=====

# 4
A relaxed SmYSi crystal, computed with PBE.

- Energy relative to the lowest polymorph listed for this composition: 0.0 kJ/mol of atoms

The structure in extended XYZ format:
```
3
Lattice="3.115 -1.182 -3.602 3.199 -3.666 0.628 -0.576 -4.206 -2.459" Properties=species:S:1:pos:R:3 pbc="T T T"
Si 0.000 0.000 0.000
Sm 1.434 -2.264 -1.358
Y 4.303 -6.791 -4.075
```

=====

# 5
A relaxed TbSmSn2Pd4 crystal, computed with PBE.

- E_tot: -5.630 eV per atom

The structure in extended XYZ format:
```
8
Lattice="4.612 0.000 0.000 -2.306 3.994 0.000 0.000 0.000 9.015" Properties=species:S:1:pos:R:3 pbc="T T T"
Pd 2.306 1.331 1.515
Pd 0.000 0.000 3.039
Pd 0.000 0.000 5.976
Pd 2.306 1.331 7.501
Sm 0.000 0.000 0.000
Sn 0.000 2.663 2.302
Sn 0.000 2.663 6.713
Tb 2.306 1.331 4.508
```

=====

# 6
A relaxed NdDyP4Au2 crystal, computed with PBE.

- E_tot: -5.367 eV per atom

The structure in extended XYZ format:
```
8
Lattice="-3.738 -0.038 1.220 -1.215 -0.288 -3.729 0.323 -10.071 0.672" Properties=species:S:1:pos:R:3 pbc="T T T"
Au -1.706 -5.099 0.949
Au -0.444 -5.223 -1.525
Dy 0.250 -7.792 0.520
Nd -2.404 -2.410 -1.104
P 0.103 -3.227 0.215
P -2.254 -7.103 -0.791
P -1.548 -10.015 1.278
P -0.287 -10.139 -1.197
```

=====

# 7
A relaxed Hf4InPC2 crystal, computed with PBE.

- E_tot: -9.202 eV per atom

The structure in extended XYZ format:
```
8
Lattice="-1.717 -2.506 1.451 2.577 -0.693 -2.053 8.436 0.292 10.487" Properties=species:S:1:pos:R:3 pbc="T T T"
C 3.440 -1.218 1.967
C 7.287 -1.085 6.750
Hf 1.262 -1.848 2.207
Hf 3.098 0.107 3.852
Hf 5.338 0.185 6.636
Hf 6.603 -1.663 8.846
In 0.000 0.000 0.000
P 3.932 -1.756 5.527
```

=====

# 8
A relaxed NdCuAu crystal, computed with PBE.

- Calculated formation energy: -0.3559 eV per atom
- Energy relative to the lowest polymorph listed for this composition: 18.1 kJ/mol of atoms

The structure in extended XYZ format:
```
3
Lattice="0.000 3.273 3.273 3.273 0.000 3.273 3.273 3.273 0.000" Properties=species:S:1:pos:R:3 pbc="T T T"
Au 1.637 1.637 1.637
Cu 0.000 0.000 0.000
Nd 4.910 4.910 4.910
```

=====

# 9
A relaxed YThAs crystal, computed with PBE.

- E_tot: -5.812 eV per atom

The structure in extended XYZ format:
```
3
Lattice="0.000 3.522 3.522 3.522 0.000 3.522 3.522 3.522 0.000" Properties=species:S:1:pos:R:3 pbc="T T T"
As 1.761 1.761 1.761
Th 5.283 5.283 5.283
Y 0.000 0.000 0.000
```

=====

# 10
A relaxed La3Co2S7 crystal, computed with PBE.

- E_tot: -6.242 eV per atom

The structure in extended XYZ format:
```
24
Lattice="-5.594 4.659 6.945 0.412 -10.051 -0.214 4.697 0.114 3.707" Properties=species:S:1:pos:R:3 pbc="T T T"
Co 0.182 0.004 0.144
Co -2.912 -0.228 5.095
Co 2.531 0.061 1.997
Co 1.438 -5.074 4.563
La 0.157 -7.426 2.332
La 0.441 -3.138 1.840
La -2.010 -4.796 4.996
La -0.752 2.146 8.020
La -1.036 -2.142 8.511
La 1.414 -0.484 5.356
S -1.538 -5.146 2.213
S -2.770 1.455 3.627
S -2.958 -2.165 3.976
S -4.812 -0.017 6.259
S -3.442 -3.682 7.308
S -3.490 3.313 7.155
S 0.289 -0.263 2.476
S -1.192 -0.186 6.453
S 0.281 -3.166 4.733
S 0.094 -6.786 5.082
S 2.136 -5.314 2.450
S 3.364 -1.586 3.452
S 3.412 -8.581 3.605
S -0.367 -5.005 8.284
```

=====

# 11
A relaxed YCuSnOs crystal, computed with PBE.

- Energy relative to the lowest polymorph listed for this composition: 34.7 kJ/mol of atoms

The structure in extended XYZ format:
```
4
Lattice="2.102 -2.855 3.169 -2.114 -0.893 4.165 -1.800 -4.314 0.876" Properties=species:S:1:pos:R:3 pbc="T T T"
Cu -1.359 -6.047 6.158
Os -0.906 -4.031 4.105
Sn 0.000 0.000 0.000
Y -0.453 -2.016 2.053
```

=====

# 12
A relaxed Gd2ErFe2B2N3 crystal, computed with PBE.

- E_tot: -8.039 eV per atom

The structure in extended XYZ format:
```
10
Lattice="-1.731 1.731 10.173 1.731 -1.731 10.173 1.731 1.731 -10.173" Properties=species:S:1:pos:R:3 pbc="T T T"
B 0.000 0.000 3.809
B 0.000 0.000 16.538
Er 0.000 0.000 0.000
Fe 0.000 1.731 5.087
Fe 1.731 0.000 5.087
Gd 0.000 0.000 7.691
Gd 0.000 0.000 12.656
N 0.000 0.000 2.324
N 0.000 0.000 10.173
N 0.000 0.000 18.023
```

=====

# 13
A relaxed TbErCu2P4 crystal, computed with PBE.

- E_tot: -5.655 eV per atom

The structure in extended XYZ format:
```
8
Lattice="-3.248 -1.377 -1.166 0.267 -2.742 2.492 -4.661 5.471 6.520" Properties=species:S:1:pos:R:3 pbc="T T T"
Cu -3.961 2.054 2.686
Cu -2.203 1.372 4.515
Er -3.581 4.204 5.010
P -1.608 1.888 2.250
P -4.559 1.542 4.956
P -6.273 4.769 5.920
P -4.515 4.086 7.750
Tb -2.565 -0.798 2.166
```

=====

# 14
A relaxed TmPbO3 crystal, computed with PBE.

- E_tot: -6.712 eV per atom

The structure in extended XYZ format:
```
20
Lattice="-4.683 -0.960 3.166 3.308 -3.056 3.967 1.445 7.159 4.310" Properties=species:S:1:pos:R:3 pbc="T T T"
O -1.977 -1.034 3.777
O -1.021 -2.706 6.232
O 0.827 0.436 3.171
O 1.777 -1.237 5.630
O -1.496 1.348 5.211
O -0.540 -0.324 7.666
O 0.610 3.466 3.776
O 1.566 1.795 6.232
O -1.706 4.380 5.812
O -0.756 2.707 8.272
O 1.091 5.849 5.211
O 2.047 4.177 7.666
Pb -2.342 -0.480 1.583
Pb 1.654 -1.528 1.984
Pb -1.619 3.100 3.738
Pb 2.377 2.052 4.139
Tm -4.107 0.683 4.415
Tm -0.203 -0.384 4.878
Tm 0.274 3.527 6.565
Tm 4.177 2.460 7.028
```

=====

# 15
A relaxed BePtNO crystal, computed with PBE.

- Energy relative to the lowest polymorph listed for this composition: 105.4 kJ/mol of atoms

The structure in extended XYZ format:
```
8
Lattice="-0.411 0.869 -3.226 -2.157 -2.551 -0.412 -5.401 4.270 1.838" Properties=species:S:1:pos:R:3 pbc="T T T"
Be -3.548 2.149 -1.604
Be -4.421 0.439 -0.197
N -4.130 0.481 -1.979
N -3.839 2.107 0.178
O -0.847 0.014 -2.523
O -1.721 -1.696 -1.116
Pt -1.617 0.351 -0.578
Pt -6.352 2.237 -1.223
```

=====

# 16
A relaxed UB6Os2 crystal, computed with PBE.

- E_tot: -7.242 eV per atom

The structure in extended XYZ format:
```
9
Lattice="-3.504 0.192 3.709 0.852 -2.365 4.444 0.893 2.733 4.219" Properties=species:S:1:pos:R:3 pbc="T T T"
B -1.806 0.249 5.312
B -0.268 -0.654 5.571
B -1.505 -0.586 6.881
B -0.254 1.146 5.492
B -1.491 1.214 6.802
B 0.047 0.311 7.061
Os -0.440 0.140 3.092
Os -1.319 0.420 9.281
U 0.000 0.000 0.000
```

=====

# 17
A relaxed NpPa crystal, computed with PBE.

- Calculated formation energy: 0.2541 eV per atom
- Energy relative to the lowest polymorph listed for this composition: 0.0 kJ/mol of atoms

The structure in extended XYZ format:
```
2
Lattice="-2.543 0.990 -1.371 1.464 -2.451 -1.084 -3.101 -3.331 3.345" Properties=species:S:1:pos:R:3 pbc="T T T"
Np -3.533 -2.655 1.233
Pa -0.647 -2.137 -0.344
```

=====

# 18
A relaxed TbPuMg crystal, computed with PBE.

- Energy relative to the lowest polymorph listed for this composition: 0.0 kJ/mol of atoms

The structure in extended XYZ format:
```
3
Lattice="0.000 3.684 3.684 3.684 0.000 3.684 3.684 3.684 0.000" Properties=species:S:1:pos:R:3 pbc="T T T"
Mg 0.000 0.000 0.000
Pu 1.842 1.842 1.842
Tb 5.526 5.526 5.526
```

=====

# 19
A relaxed TcGePt2 crystal, computed with PBE.

- E_tot: -6.761 eV per atom

The structure in extended XYZ format:
```
4
Lattice="-2.174 -1.435 3.587 -2.138 2.886 2.599 -4.432 0.054 0.075" Properties=species:S:1:pos:R:3 pbc="T T T"
Ge -4.372 0.752 3.130
Pt 0.000 0.000 0.000
Pt -6.558 1.129 4.696
Tc -2.186 0.376 1.565
```

=====

# 20
A relaxed PuNiMo crystal, computed with PBE.

- Calculated formation energy: 1.0576 eV per atom
- Energy relative to the lowest polymorph listed for this composition: 11.6 kJ/mol of atoms

The structure in extended XYZ format:
```
3
Lattice="0.000 2.997 2.997 2.997 0.000 2.997 2.997 2.997 0.000" Properties=species:S:1:pos:R:3 pbc="T T T"
Mo 1.498 1.498 1.498
Ni 4.495 4.495 4.495
Pu 0.000 0.000 0.000
```

=====

# 21
A relaxed NdSm2B2N4 crystal, computed with PBE.

- E_tot: -8.102 eV per atom

The structure in extended XYZ format:
```
9
Lattice="-1.748 3.113 5.340 1.748 -3.113 5.340 1.748 3.113 -5.340" Properties=species:S:1:pos:R:3 pbc="T T T"
B 0.000 0.888 5.340
B 1.748 2.225 0.000
N 0.000 1.595 4.048
N 0.000 1.595 6.633
N 1.748 1.518 -1.292
N 1.748 1.518 1.292
Nd 0.000 0.000 0.000
Sm 0.000 3.113 2.153
Sm 1.748 0.000 3.187
```

=====

# 22
A relaxed AuSeCl7 crystal, computed with PBE.

- E_tot: -2.494 eV per atom

The structure in extended XYZ format:
```
36
Lattice="8.564 0.000 0.002 0.000 10.152 0.000 -3.857 0.000 11.702" Properties=species:S:1:pos:R:3 pbc="T T T"
Au 1.703 9.313 0.567
Au 4.932 4.236 5.287
Au -0.226 5.916 6.417
Au 3.004 0.840 11.138
Cl 4.354 7.078 0.416
Cl 7.824 2.548 0.678
Cl 6.646 9.713 1.390
Cl 1.944 4.488 1.534
Cl 7.110 6.019 1.770
Cl 2.664 0.870 1.809
Cl 1.539 8.050 2.480
Cl 5.096 2.974 3.374
Cl 3.971 5.946 4.044
Cl -0.475 0.943 4.083
Cl 4.691 9.564 4.319
Cl -0.011 4.637 4.463
Cl -1.189 7.624 5.175
Cl 2.281 2.002 5.438
Cl 2.425 8.150 6.267
Cl 5.896 2.528 6.529
Cl 4.717 5.515 7.241
Cl 0.016 0.588 7.385
Cl 5.182 9.209 7.621
Cl 0.736 4.207 7.660
Cl -0.389 7.178 8.331
Cl 3.167 2.102 9.225
Cl 2.042 9.283 9.895
Cl -2.404 4.133 9.934
Cl 2.762 5.664 10.170
Cl -1.939 0.439 10.314
Cl -3.118 7.604 11.026
Cl 0.353 3.074 11.288
Se 6.515 7.210 0.028
Se 0.120 2.134 5.825
Se 4.587 8.018 5.879
Se -1.809 2.942 11.676
```

=====

# 23
A relaxed TaNb2Si crystal, computed with PBE.

- E_tot: -9.461 eV per atom

The structure in extended XYZ format:
```
4
Lattice="0.000 3.227 3.227 3.227 0.000 3.227 3.227 3.227 0.000" Properties=species:S:1:pos:R:3 pbc="T T T"
Nb 0.000 0.000 0.000
Nb 4.841 4.841 4.841
Si 3.227 3.227 3.227
Ta 1.614 1.614 1.614
```

=====

# 24
A relaxed KYTh crystal, computed with PBE.

- E_tot: -3.483 eV per atom

The structure in extended XYZ format:
```
3
Lattice="-2.148 4.352 2.656 0.003 4.984 -2.402 -4.753 2.234 -1.742" Properties=species:S:1:pos:R:3 pbc="T T T"
K 0.000 0.000 0.000
Th -1.724 2.893 -0.372
Y -5.173 8.678 -1.116
```